--- i ---
Sm8ZnIn2: relaxed, GGA-PBE.

Output
DOS(E_F)   1.112 states/eV per atom
Theoretical density   7.5 Mg/m³

abc: 18.267 5.357 6.814
angles: 90.00 93.01 90.00
Space group C2/m (No. 12)
Unique sites:
Sm1 0.030 0.000 0.268
Sm2 0.090 0.500 0.905
Sm3 0.166 0.500 0.407
Sm4 0.212 0.000 0.107
Zn1 0.000 0.500 0.500
In1 0.155 0.000 0.657

--- ii ---
Sm8ZnIn2: relaxed, GGA-PBE.

Output
DOS(E_F)   1.029 states/eV per atom
Theoretical density   7.5 Mg/m³

abc: 18.982 5.293 6.860
angles: 90.00 104.40 90.00
Space group C2/m (No. 12)
Unique sites:
Sm1 0.014 0.000 0.273
Sm2 0.093 0.500 0.962
Sm3 0.153 0.500 0.473
Sm4 0.206 0.000 0.795
Zn1 0.000 0.500 0.500
In1 0.183 0.000 0.240

Stability ranking, top and bottom: i is the most stable and ii is the least stable.

--- i ---
Sm4ZnIn: relaxed, GGA-PBE.

Output
DOS(E_F)   1.122 states/eV per atom
Theoretical density   7.5 Mg/m³

abc: 12.938 3.708 7.582
angles: 90.00 106.95 90.00
Space group C2/m (No. 12)
Unique sites:
Sm1 0.147 0.000 0.336
Sm2 0.153 0.000 0.815
Zn1 0.000 0.500 0.500
In1 0.000 0.500 0.000

--- ii ---
Sm4ZnIn: relaxed, GGA-PBE.

Output
DOS(E_F)   1.840 states/eV per atom
Theoretical density   6.7 Mg/m³

abc: 5.116 5.116 7.429
angles: 90.00 90.00 90.00
Space group P4/mmm (No. 123)
Unique sites:
Sm1 0.000 0.500 0.235
Zn1 0.000 0.000 0.000
In1 0.500 0.500 0.500

Stability ranking, top and bottom: i is the most stable and ii is the least stable.

--- i ---
SmZrIn: relaxed, GGA-PBE.

Output
DOS(E_F)   0.997 states/eV per atom
Theoretical density   7.3 Mg/m³

abc: 5.741 8.788 12.779
angles: 90.00 90.00 90.00
Space group Fmmm (No. 69)
Unique sites:
Sm1 0.000 0.175 0.000
Zr1 0.250 0.250 0.250
In1 0.000 0.000 0.383

--- ii ---
SmZrIn: relaxed, GGA-PBE.

Output
DOS(E_F)   1.083 states/eV per atom
Theoretical density   7.5 Mg/m³

abc: 3.417 3.417 13.546
angles: 90.00 90.00 90.00
Space group I4mm (No. 107)
Unique sites:
Sm1 0.000 0.000 0.000
Zr1 0.000 0.000 0.322
In1 0.000 0.000 0.674

--- iii ---
SmZrIn: relaxed, GGA-PBE.

Output
DOS(E_F)   1.498 states/eV per atom
Theoretical density   7.9 Mg/m³

abc: 5.2386 5.2386 3.1611
angles: 90.00 90.00 120.00
Space group P3m1 (No. 156)
Unique sites:
Sm1 0.0000 0.0000 0.0000
Zr1 0.3333 0.6667 0.9976
In1 0.6667 0.3333 0.4996

Stability ranking, top and bottom: ii is the most stable and iii is the least stable.

--- i ---
In5Sn: relaxed, GGA-PBE.

Output
DOS(E_F)   0.371 states/eV per atom
Theoretical density   7.0 Mg/m³

abc: 10.775 5.414 6.680
angles: 90.00 122.57 90.00
Space group Cm (No. 8)
Unique sites:
In1 0.000 0.000 0.000
In2 0.002 0.000 0.502
In3 0.161 0.500 0.469
In4 0.163 0.500 0.972
In5 0.331 0.000 0.484
Sn1 0.331 0.000 0.984

--- ii ---
In5Sn: relaxed, GGA-PBE.

Output
DOS(E_F)   0.304 states/eV per atom
Theoretical density   7.0 Mg/m³

abc: 6.035 9.729 6.093
angles: 90.00 113.85 90.00
Space group P2_1/m (No. 11)
Unique sites:
In1 0.001 0.084 0.251
In2 0.002 0.250 0.752
In3 0.499 0.584 0.249
Sn1 0.498 0.750 0.748

Stability ranking, top and bottom: ii is the most stable and i is the least stable.

--- i ---
In2Sn5: relaxed, GGA-PBE.

Output
DOS(E_F)   0.424 states/eV per atom
Theoretical density   6.9 Mg/m³

abc: 25.349 3.384 9.340
angles: 90.00 100.09 90.00
Space group C2/c (No. 15)
Unique sites:
In1 0.135 0.007 0.318
Sn1 0.000 0.003 0.750
Sn2 0.068 0.500 0.034
Sn3 0.220 0.001 0.111

--- ii ---
In2Sn5: relaxed, GGA-PBE.

Output
DOS(E_F)   0.519 states/eV per atom
Theoretical density   7.1 Mg/m³

abc: 5.4789 5.4789 22.3189
angles: 90.00 90.00 120.00
Space group R-3m (No. 166, hexagonal axes)
Unique sites:
In1 0.0000 0.0000 0.1406
Sn1 0.0000 0.0000 0.0000
Sn2 0.0000 0.0000 0.2833
Sn3 0.0000 0.0000 0.4239

Stability ranking, top and bottom: ii is the most stable and i is the least stable.

--- i ---
In4Sn3: relaxed, GGA-PBE.

Output
DOS(E_F)   0.403 states/eV per atom
Theoretical density   7.1 Mg/m³

abc: 5.530 8.844 8.924
angles: 62.30 84.86 83.88
Space group P-1 (No. 2)
Unique sites:
In1 0.245 0.381 0.479
In2 0.247 0.951 0.621
In3 0.250 0.095 0.903
In4 0.251 0.814 0.333
Sn1 0.241 0.666 0.055
Sn2 0.250 0.529 0.762
Sn3 0.256 0.239 0.187

--- ii ---
In4Sn3: relaxed, GGA-PBE.

Output
DOS(E_F)   0.539 states/eV per atom
Theoretical density   6.6 Mg/m³

abc: 7.734 4.455 12.259
angles: 90.00 102.50 90.00
Space group C2/m (No. 12)
Unique sites:
In1 0.070 0.000 0.214
In2 0.213 0.000 0.634
Sn1 0.000 0.500 0.500
Sn2 0.145 0.500 0.936

Stability ranking, top and bottom: i is the most stable and ii is the least stable.

--- i ---
Sr8InSn2: relaxed, GGA-PBE.

Output
DOS(E_F)   0.839 states/eV per atom
Theoretical density   3.9 Mg/m³

abc: 20.415 5.730 8.069
angles: 90.00 107.60 90.00
Space group C2/m (No. 12)
Unique sites:
Sr1 0.030 0.000 0.285
Sr2 0.097 0.500 0.946
Sr3 0.164 0.500 0.452
Sr4 0.202 0.000 0.799
In1 0.000 0.500 0.500
Sn1 0.189 0.000 0.206

--- ii ---
Sr8InSn2: relaxed, GGA-PBE.

Output
DOS(E_F)   0.754 states/eV per atom
Theoretical density   4.1 Mg/m³

abc: 5.649 9.040 16.886
angles: 90.00 90.00 90.00
Space group Immm (No. 71)
Unique sites:
Sr1 0.000 0.000 0.149
Sr2 0.000 0.220 0.344
Sr3 0.000 0.307 0.000
In1 0.000 0.500 0.500
Sn1 0.000 0.500 0.191

Stability ranking, top and bottom: i is the most stable and ii is the least stable.

--- i ---
Sr2InSn: relaxed, GGA-PBE.

Output
DOS(E_F)   0.712 states/eV per atom
Theoretical density   4.7 Mg/m³

abc: 6.651 4.709 9.642
angles: 90.00 107.99 90.00
Space group P2_1/m (No. 11)
Unique sites:
Sr1 0.204 0.250 0.428
Sr2 0.287 0.750 0.067
In1 0.369 0.750 0.712
Sn1 0.142 0.250 0.787

--- ii ---
Sr2InSn: relaxed, GGA-PBE.

Output
DOS(E_F)   0.392 states/eV per atom
Theoretical density   5.1 Mg/m³

abc: 5.495 5.495 4.433
angles: 90.00 90.00 90.00
Space group P4/mmm (No. 123)
Unique sites:
Sr1 0.000 0.500 0.000
In1 0.000 0.000 0.500
Sn1 0.500 0.500 0.500

Stability ranking, top and bottom: i is the most stable and ii is the least stable.